Record 1
Y2AgP | meta-GGA SCAN | single point on PBEsol structure

Geometry as extended XYZ:
```
8
Lattice="3.8142 0.0000 0.0000 0.0000 4.2607 0.0000 0.0000 0.0000 10.5393" Properties=species:S:1:pos:R:3 pbc="T T T"
Y 0.0000 0.0000 0.0000
Y 0.0000 2.1303 2.4830
Y 1.9071 0.0000 7.7526
Y 1.9071 2.1303 5.2697
Ag 0.0000 2.1303 8.1385
Ag 1.9071 0.0000 2.8689
P 0.0000 0.0000 4.9041
P 1.9071 2.1303 10.1738
```

D(E_F)	2.4	states/eV/f.u.
crystal system	orthorhombic
formation enthalpy at 0 K	-2.83	eV/f.u.

***

Record 2
Li4FeSi2O7 | meta-GGA SCAN | single point on PBEsol structure

Geometry as extended XYZ:
```
14
Lattice="4.7662 -2.2288 0.0000 4.7662 2.2288 0.0000 -1.1588 0.0000 6.6329" Properties=species:S:1:pos:R:3 pbc="T T T"
Li 0.9106 0.0000 2.8798
Li 1.7455 -0.0225 5.6715
Li 6.6280 -0.0225 0.9614
Li 7.4629 0.0000 3.7531
Fe 4.7662 2.1767 0.0000
Si 3.7146 -0.1034 1.9267
Si 4.6590 -0.1034 4.7062
O 3.3876 0.9761 0.7370
O 4.1868 0.7725 3.3165
O 4.9859 0.9761 5.8959
O 2.4232 -0.9963 2.2963
O 3.3660 -1.0234 5.1365
O 5.0075 -1.0234 1.4964
O 5.9503 -0.9963 4.3366
```

crystal system	monoclinic
energy above the most stable polymorph in this dataset	6.0	meV per atom
formation energy from raw total energies	-2.54	eV per atom

***

Record 3
CaIn2Au | meta-GGA SCAN | single point on PBEsol structure

Geometry as extended XYZ:
```
4
Lattice="3.5705 0.0000 0.0000 0.0000 4.7445 0.0000 -1.0814 0.0000 5.5970" Properties=species:S:1:pos:R:3 pbc="T T T"
Ca 0.0000 0.0000 0.0000
In 0.5246 2.3722 4.0975
In 1.9646 2.3722 1.4995
Au 1.2446 0.0000 2.7985
```

D(E_F)	1.4	states/eV/f.u.
crystal system	monoclinic
formation enthalpy at 0 K	-2.07	eV/f.u.

***

Record 4
FeCoNi2 | meta-GGA SCAN | single point on PBEsol structure

Geometry as extended XYZ:
```
16
Lattice="5.5445 0.0000 0.0000 0.0000 5.5445 0.0000 0.0000 0.0000 5.5445" Properties=species:S:1:pos:R:3 pbc="T T T"
Fe 0.0000 0.0000 0.0000
Fe 0.0000 2.7722 2.7722
Fe 2.7722 0.0000 2.7722
Fe 2.7722 2.7722 0.0000
Co 1.3861 1.3861 1.3861
Co 1.3861 4.1583 4.1583
Co 4.1583 1.3861 4.1583
Co 4.1583 4.1583 1.3861
Ni 0.0000 0.0000 2.7722
Ni 0.0000 2.7722 0.0000
Ni 1.3861 1.3861 4.1583
Ni 1.3861 4.1583 1.3861
Ni 2.7722 0.0000 0.0000
Ni 2.7722 2.7722 2.7722
Ni 4.1583 1.3861 1.3861
Ni 4.1583 4.1583 4.1583
```

D(E_F)	4.0	states/eV/f.u.
crystal system	cubic
formation enthalpy at 0 K	-0.23	eV/f.u.

***

Record 5
Hg2OsPb | meta-GGA SCAN | single point on PBEsol structure

Geometry as extended XYZ:
```
16
Lattice="6.8609 0.0000 0.0000 0.0000 6.8609 0.0000 0.0000 0.0000 6.8609" Properties=species:S:1:pos:R:3 pbc="T T T"
Hg 0.0000 0.0000 0.0000
Hg 0.0000 3.4304 3.4304
Hg 1.7152 1.7152 1.7152
Hg 1.7152 5.1457 5.1457
Hg 3.4304 0.0000 3.4304
Hg 3.4304 3.4304 0.0000
Hg 5.1457 1.7152 5.1457
Hg 5.1457 5.1457 1.7152
Os 1.7152 1.7152 5.1457
Os 1.7152 5.1457 1.7152
Os 5.1457 1.7152 1.7152
Os 5.1457 5.1457 5.1457
Pb 0.0000 0.0000 3.4304
Pb 0.0000 3.4304 0.0000
Pb 3.4304 0.0000 0.0000
Pb 3.4304 3.4304 3.4304
```

D(E_F)	2.9	states/eV/f.u.
crystal system	cubic
formation enthalpy at 0 K	4.13	eV/f.u.

***

Record 6
Cu2MoPt | meta-GGA SCAN | single point on PBEsol structure

Geometry as extended XYZ:
```
4
Lattice="2.6704 0.0000 0.0000 0.0000 4.5090 0.0000 0.0000 0.0000 4.5725" Properties=species:S:1:pos:R:3 pbc="T T T"
Cu 0.0000 0.0000 0.0000
Cu 1.3352 0.0000 2.2863
Mo 0.0000 2.2545 2.2863
Pt 1.3352 2.2545 0.0000
```

D(E_F)	2.3	states/eV/f.u.
crystal system	orthorhombic
energy above the most stable polymorph in this dataset	192.7	meV per atom
formation enthalpy at 0 K	0.44	eV/f.u.

***

Record 7
Er6InCo2 | meta-GGA SCAN | single point on PBEsol structure

Geometry as extended XYZ:
```
18
Lattice="-4.5816 4.6658 4.8677 4.5816 -4.6658 4.8677 4.5816 4.6658 -4.8677" Properties=species:S:1:pos:R:3 pbc="T T T"
Er 4.5816 2.6897 -2.6100
Er 2.6370 1.7546 0.0000
Er 6.5262 1.7546 0.0000
Er 1.8080 4.6658 -1.8040
Er 2.7736 0.0000 3.0637
Er 0.0000 1.9762 2.2577
Er 4.5816 2.6897 2.6100
Er 1.8080 4.6658 1.8040
Er 2.7736 0.0000 6.6717
Er -1.9446 2.9113 4.8677
Er 1.9446 2.9113 4.8677
Er 0.0000 1.9762 7.4777
In 0.0000 0.0000 0.0000
In 0.0000 0.0000 4.8677
Co 4.5816 0.0000 1.0974
Co 0.0000 3.5117 0.0000
Co 0.0000 5.8200 0.0000
Co 0.0000 4.6658 3.7703
```

D(E_F)	6.3	states/eV/f.u.
crystal system	orthorhombic
formation enthalpy at 0 K	-2.65	eV/f.u.

***

Record 8
ScZn2Ru | meta-GGA SCAN | single point on PBEsol structure

Geometry as extended XYZ:
```
4
Lattice="3.0162 0.0000 0.0000 0.0000 3.7599 0.0000 0.0000 0.0000 5.2645" Properties=species:S:1:pos:R:3 pbc="T T T"
Sc 0.0000 0.0000 0.0000
Zn 1.5081 1.8799 1.4321
Zn 1.5081 1.8799 3.8325
Ru 0.0000 0.0000 2.6323
```

D(E_F)	1.7	states/eV/f.u.
crystal system	orthorhombic
formation enthalpy at 0 K	-1.20	eV/f.u.

***

Record 9
ZrMnCd | meta-GGA SCAN | single point on PBEsol structure

Geometry as extended XYZ:
```
6
Lattice="3.1208 0.0000 0.0000 0.0000 3.5598 0.0000 0.0000 0.0000 9.6803" Properties=species:S:1:pos:R:3 pbc="T T T"
Zr 0.0000 0.0000 0.0000
Zr 1.5604 1.7799 4.8401
Mn 0.0000 0.0000 6.2768
Mn 1.5604 1.7799 1.4366
Cd 0.0000 0.0000 2.9650
Cd 1.5604 1.7799 7.8051
```

D(E_F)	2.0	states/eV/f.u.
crystal system	orthorhombic
formation enthalpy at 0 K	-0.27	eV/f.u.

***

Record 10
TaCrNi3 | meta-GGA SCAN | single point on PBEsol structure

Geometry as extended XYZ:
```
5
Lattice="4.1213 0.0000 0.0000 0.0000 4.1213 0.0000 0.0000 0.0000 4.1213" Properties=species:S:1:pos:R:3 pbc="T T T"
Ta 0.0000 0.0000 0.0000
Cr 2.0606 2.0606 2.0606
Ni 0.0000 2.0606 2.0606
Ni 2.0606 0.0000 2.0606
Ni 2.0606 2.0606 0.0000
```

D(E_F)	5.4	states/eV/f.u.
crystal system	cubic
formation enthalpy at 0 K	5.56	eV/f.u.

***

Record 11
MnAgSb2 | meta-GGA SCAN | single point on PBEsol structure

Geometry as extended XYZ:
```
12
Lattice="3.1682 0.0000 0.0000 -1.5841 2.7437 0.0000 0.0000 0.0000 29.3828" Properties=species:S:1:pos:R:3 pbc="T T T"
Mn 0.0000 0.0000 0.0000
Mn 0.0000 1.8291 19.5885
Mn 1.5841 0.9146 9.7943
Ag 0.0000 0.0000 7.8046
Ag 0.0000 1.8291 27.3931
Ag 1.5841 0.9146 17.5989
Sb 0.0000 0.0000 15.2255
Sb 0.0000 0.0000 21.6974
Sb 0.0000 1.8291 5.4312
Sb 0.0000 1.8291 11.9032
Sb 1.5841 0.9146 2.1089
Sb 1.5841 0.9146 25.0197
```

D(E_F)	2.6	states/eV/f.u.
crystal system	trigonal
formation energy from raw total energies	0.15	eV per atom

***

Record 12
Sb2MoCl | meta-GGA SCAN | single point on PBEsol structure

Geometry as extended XYZ:
```
16
Lattice="6.3750 0.0000 0.0000 0.0000 6.3750 0.0000 0.0000 0.0000 12.4695" Properties=species:S:1:pos:R:3 pbc="T T T"
Sb 1.2127 1.5938 1.5587
Sb 1.5938 4.4002 4.6761
Sb 1.5938 5.1623 10.9108
Sb 1.9748 1.5938 7.7934
Sb 4.4002 4.7813 7.7934
Sb 4.7813 1.2127 10.9108
Sb 4.7813 1.9748 4.6761
Sb 5.1623 4.7813 1.5587
Mo 0.0000 0.0000 0.0000
Mo 0.0000 3.1875 3.1174
Mo 3.1875 0.0000 9.3521
Mo 3.1875 3.1875 6.2347
Cl 0.0000 0.0000 6.2347
Cl 0.0000 3.1875 9.3521
Cl 3.1875 0.0000 3.1174
Cl 3.1875 3.1875 0.0000
```

D(E_F)	3.4	states/eV/f.u.
crystal system	tetragonal
energy above the most stable polymorph in this dataset	442.9	meV per atom
formation energy from raw total energies	0.54	eV per atom